12
Lattice="-0.8756 -3.6613 2.8021 3.7917 0.8809 6.3356 -5.1274 3.2308 2.6194" Properties=species:S:1:pos:R:3 comment="Li3Mg2Ga, optimized geometry, DFT PBE" de_polymorph_kj_per_mol_fu=0 total_magnetization_mub_per_fu=0.00 spacegroup=P2/m pbc="T T T"
Li -3.3779 -0.1652 6.5819
Li -0.5003 -1.9784 5.1119
Mg 0.0000 0.0000 0.0000
Mg -2.5637 1.6154 1.3097
Li 2.1385 -0.1839 8.3575
Mg -0.5954 -0.2361 7.4463
Ga -3.0988 1.4094 8.8370
Ga 0.8875 -0.9589 2.9200
Mg -1.6159 0.6865 4.3107
Li 1.1666 0.6157 5.1752
Li -1.7110 2.4288 6.6452
Li -4.3497 0.6343 3.3995

=====

10
Lattice="-3.6554 2.0569 -0.3403 -1.1543 -2.5686 -3.1270 -4.2526 -6.4246 6.8472" Properties=species:S:1:pos:R:3 comment="Y2Ga4PdRh3, optimized geometry, DFT PBE" final_energy_ev_per_cell=-60.3 total_magnetization_mub_per_fu=0.00 spacegroup=P-4m2 pbc="T T T"
Rh -2.1263 -3.2123 3.4236
Pd -4.5311 -3.4682 1.6899
Y -2.8997 -0.5911 1.5559
Ga -2.1448 -3.6526 0.9606
Ga 0.0000 0.0000 0.0000
Ga -2.4048 -0.2559 -1.7337
Rh -1.1413 -2.1366 -0.6552
Ga -4.5127 -3.0278 4.1529
Y -3.7577 -6.0893 3.5576
Rh -5.5162 -4.5438 5.7687

=====

4
Lattice="1.5535 0.0000 5.8102 -0.7768 1.3454 5.8102 -0.7768 -1.3454 5.8102" Properties=species:S:1:pos:R:3 comment="BePtO2, optimized geometry, DFT PBE" raw_formation_energy_mev_per_atom=-1269 total_magnetization_mub_per_fu=0.00 spacegroup=R-3m pbc="T T T"
Pt 0.0000 0.0000 0.0000
O 0.0000 0.0000 1.9626
Be 0.0000 0.0000 8.7152
O 0.0000 0.0000 15.4679

=====

4
Lattice="-3.3005 4.8183 -1.2826 -1.6981 -0.0455 -5.7331 -0.3116 -4.0866 4.3539" Properties=species:S:1:pos:R:3 comment="Sr2PtPb, optimized geometry, DFT PBE" final_energy_ev_per_cell=-14.6 total_magnetization_mub_per_fu=0.00 spacegroup=I-4m2 pbc="T T T"
Pt -3.0557 1.5590 -0.2183
Sr 0.0000 0.0000 0.0000
Pb -2.4993 2.3864 -3.5079
Sr -2.2545 -0.8728 -2.4435

=====

5
Lattice="-0.9276 -4.6638 2.3993 4.2507 0.8499 3.2954 -3.1970 2.4344 3.4959" Properties=species:S:1:pos:R:3 comment="LiRePb2I, optimized geometry, DFT PBE" raw_formation_energy_mev_per_atom=510 total_magnetization_mub_per_fu=0.98 spacegroup=P4/mmm pbc="T T T"
Pb -0.4638 -2.3319 1.1996
I 0.0631 -0.6898 4.5953
Li 2.1254 0.4249 1.6477
Pb -1.5985 1.2172 1.7479
Re 0.0000 0.0000 0.0000

=====

16
Lattice="-7.0408 3.8385 4.8554 -5.3022 -9.0124 -0.5638 8.5915 -0.4090 3.7321" Properties=species:S:1:pos:R:3 comment="Cs4Ce3ThTe8, optimized geometry, DFT PBE" raw_formation_energy_mev_per_atom=-1304 total_magnetization_mub_per_fu=3.91 spacegroup=R-3m pbc="T T T"
Cs 0.0000 0.0000 0.0000
Te -2.3816 -0.0060 5.6011
Te -0.5782 -3.8285 6.8012
Te -3.1733 -1.7545 1.2224
Cs 4.2958 -0.2045 1.8660
Te 1.1054 -1.9310 3.1296
Ce -1.8758 -2.7915 4.0118
Te -6.7622 0.2021 3.6973
Ce 1.6446 -4.7107 1.5841
Ce -6.1715 -2.5870 2.1458
Cs -3.5204 1.9193 2.4277
Te -1.3699 -5.5769 2.4225
Th -2.6511 -4.5062 -0.2819
Te -4.8569 -3.6519 4.8940
Te 3.0106 -5.7850 4.3263
Cs 0.7754 1.7147 4.2937

=====

20
Lattice="8.5474 -1.6419 -1.7039 1.1916 8.8536 -2.2230 1.1916 -2.5496 8.7651" Properties=species:S:1:pos:R:3 comment="LaSm6Ho2Mg, optimized geometry, DFT PBE" final_energy_ev_per_cell=-85.7 total_magnetization_mub_per_fu=0.00 spacegroup=C2/c pbc="T T T"
Mg 3.3285 2.0886 3.4741
Sm 5.7923 5.8185 -1.6250
Sm 3.1906 -1.3045 3.4921
Sm 5.1383 -1.1565 6.4632
Mg 7.6022 2.5734 1.3640
La 7.6022 -3.3681 7.0892
Ho 5.5156 4.4648 3.4188
Sm 6.4648 1.3300 4.3870
Sm 7.7400 5.9665 1.3460
Ho 9.7893 2.4300 3.7364
Sm 3.4663 1.9449 6.8642
Sm 4.4659 3.3320 0.4511
Sm 2.1911 5.1556 2.3437
Sm 8.7396 -0.4936 2.4945
Ho 1.1413 2.2320 1.1017
Sm 9.4120 5.6806 -1.7681
Sm 7.4643 2.7171 -2.0261
Sm 1.5187 -1.0186 6.6063
Ho 5.4150 0.1973 1.4194
La 3.3285 8.0302 -2.2511

=====

11
Lattice="-3.3811 -0.6833 -2.8431 3.9024 -4.7336 1.9057 -2.6922 -0.3708 6.3754" Properties=species:S:1:pos:R:3 comment="Pa2ReO8, optimized geometry, DFT PBE" raw_formation_energy_mev_per_atom=-2634 total_magnetization_mub_per_fu=1.02 spacegroup=P-1 pbc="T T T"
Pa 0.6645 -2.7235 2.2535
Re -1.6905 -0.3416 -1.4215
O -0.8379 -2.1181 -1.0577
O -3.7939 -1.1969 3.1349
O 1.0513 -4.3877 6.9076
O -0.7118 -2.5418 3.9191
O 1.6231 -4.5908 2.3031
Pa -2.8354 -3.0642 3.1846
O -3.2221 -1.4000 -1.4695
O -1.3329 -3.6697 6.4958
O -1.4591 -3.2459 1.5189

=====

3
Lattice="-3.3270 3.5580 -1.8630 -0.0475 0.7068 -5.1670 -0.6131 -3.5846 3.7382" Properties=species:S:1:pos:R:3 comment="LiCdIn, optimized geometry, DFT PBE" de_polymorph_kj_per_mol_fu=2 total_magnetization_mub_per_fu=0.00 spacegroup=Imm2 pbc="T T T"
Cd -3.3688 4.2577 -7.0181
In -2.2519 2.8460 -4.6912
Li -1.1283 1.4260 -2.3506

=====

4
Lattice="1.7773 -4.3304 1.2506 -3.0098 -3.7012 0.8473 -0.2241 -3.7027 -3.1169" Properties=species:S:1:pos:R:3 comment="TlP2Se, optimized geometry, DFT PBE" de_polymorph_kj_per_mol_fu=267 raw_formation_energy_mev_per_atom=758 total_magnetization_mub_per_fu=0.00 spacegroup=Fm-3m pbc="T T T"
Se 0.0000 0.0000 0.0000
Tl -0.7283 -5.8671 -0.5095
P -0.3641 -2.9336 -0.2547
P -1.0924 -8.8007 -0.7642

=====

6
Lattice="1.6961 -2.9377 0.0000 1.6961 2.9377 0.0000 0.0000 0.0000 8.3625" Properties=species:S:1:pos:R:3 comment="Be2Se, optimized geometry, DFT PBE" de_polymorph_kj_per_mol_fu=155 raw_formation_energy_mev_per_atom=245 total_magnetization_mub_per_fu=0.00 spacegroup=P6_3/mmc pbc="T T T"
Se 0.0000 0.0000 2.0906
Se 0.0000 0.0000 6.2719
Be 1.6961 -0.9792 3.3671
Be 1.6961 0.9792 4.9954
Be 1.6961 -0.9792 0.8141
Be 1.6961 0.9792 7.5484

=====

6
Lattice="-0.1391 -0.4864 -3.1812 1.8562 -2.6132 0.3184 -7.9226 -5.4833 1.1847" Properties=species:S:1:pos:R:3 comment="Nb3RuW2, optimized geometry, DFT PBE" de_polymorph_kj_per_mol_fu=4 total_magnetization_mub_per_fu=0.00 spacegroup=P4/mmm pbc="T T T"
Nb 0.0000 0.0000 0.0000
W -5.7226 -6.1047 -0.4473
Nb -2.6468 -1.8318 0.3958
W -0.4828 -2.4782 -1.2308
Ru -3.1027 -4.2914 -0.8391
Nb -5.2758 -3.6514 0.7889

=====

10
Lattice="7.0738 0.0001 -0.0006 3.5370 6.1260 -0.0007 3.5377 2.0424 5.7841" Properties=species:S:1:pos:R:3 comment="Mn2CdInCl6, optimized geometry, DFT PBE" raw_formation_energy_mev_per_atom=-838 total_magnetization_mub_per_fu=9.19 spacegroup=R3 pbc="T T T"
Cl 6.4920 2.0231 1.2582
Cl 5.1366 3.4454 4.1818
Cl 9.1497 4.6107 1.2577
Cl 5.5800 5.6184 1.2582
Mn 3.5376 2.0423 5.5144
In 10.6114 6.1266 3.8981
Cl 7.4902 6.0821 4.1811
Cl 8.5969 2.7256 4.1811
Mn 7.0741 4.0841 2.5669
Cd 3.5370 2.0422 0.7050

=====

8
Lattice="4.5234 0.0000 0.0000 0.0000 7.8495 0.1398 0.0000 -2.7642 8.5291" Properties=species:S:1:pos:R:3 comment="Rb2ErUTe4, optimized geometry, DFT PBE" raw_formation_energy_mev_per_atom=-1087 total_magnetization_mub_per_fu=3.01 spacegroup=P2/m pbc="T T T"
Te 0.0000 -0.0769 6.8687
Te 0.0000 5.1622 1.8002
Rb 0.0000 2.5426 4.3345
Er 2.2617 3.9247 0.0699
Te 2.2617 1.3179 1.7496
Rb 2.2617 -1.3821 4.2646
Te 2.2617 3.7674 6.9194
U 0.0000 0.0000 0.0000

=====

12
Lattice="-1.3022 -4.2237 -2.0855 1.6345 -2.5168 3.8564 -6.0188 0.4511 2.8451" Properties=species:S:1:pos:R:3 comment="CaZr2TeO8, optimized geometry, DFT PBE" raw_formation_energy_mev_per_atom=-2514 total_magnetization_mub_per_fu=0.00 spacegroup=Cmmm pbc="T T T"
Ca -3.0094 0.2255 1.4226
O -3.6816 -2.4920 4.9412
O -0.2123 -2.7523 3.3013
Zr -4.3147 -3.0345 3.0036
O -2.7832 -4.3586 2.6273
O -2.9032 -1.9308 1.9887
O -5.4742 -3.5370 1.3147
Te 0.0000 0.0000 0.0000
O -2.0048 -3.7973 -0.3252
O -5.9247 -1.4735 3.3489
Zr -1.3717 -3.2549 1.6124
O 0.2382 -4.8159 1.2671

=====

4
Lattice="-1.3439 -0.3704 2.5394 1.8911 -2.0815 0.6947 5.0596 5.7715 3.5196" Properties=species:S:1:pos:R:3 comment="Ta2AgAu, optimized geometry, DFT PBE" de_polymorph_kj_per_mol_fu=67 total_magnetization_mub_per_fu=0.00 spacegroup=P4/mmm pbc="T T T"
Ta 2.5408 2.8983 1.7675
Au 4.0683 3.1027 4.2567
Ta 5.0486 5.7589 3.5119
Ag 1.5385 0.2169 2.4970

=====

8
Lattice="-1.5988 -3.0205 -3.3302 4.4909 -1.2403 -1.0311 1.2823 -4.8071 0.3258" Properties=species:S:1:pos:R:3 comment="GeH2Os, optimized geometry, DFT PBE" de_polymorph_kj_per_mol_fu=0 total_magnetization_mub_per_fu=0.00 spacegroup=I-42d pbc="T T T"
Ge 1.4461 -2.1304 -2.1806
H 3.0462 -2.1303 -0.7321
Os 0.5648 -4.9790 -2.5925
Ge 3.6096 -4.0888 -1.4430
Os 0.0000 0.0000 0.0000
H -0.2359 -3.4687 -2.3759
H 1.7130 -5.1110 -1.3146
H 3.8256 -7.4255 -3.6483

=====

20
Lattice="8.9537 -0.2648 -0.3974 -2.7440 8.5270 -0.3974 -2.7440 -3.6510 7.7161" Properties=species:S:1:pos:R:3 comment="Pm12Si7Ag, optimized geometry, DFT PBE" raw_formation_energy_mev_per_atom=-373 total_magnetization_mub_per_fu=0.00 spacegroup=R-3 pbc="T T T"
Pm 4.5830 3.4094 3.9932
Si 6.5195 -2.3684 5.2845
Pm 4.8347 0.0479 5.1219
Si 1.7328 2.3056 3.4606
Si 7.5535 1.8928 -0.2857
Pm 0.2874 -1.3420 4.9043
Pm 2.0006 1.6244 6.4755
Ag 0.0000 0.0000 0.0000
Pm -1.3690 4.5633 1.7993
Si 3.7479 7.8721 -0.1503
Si -0.2822 -3.2609 7.0715
Pm -1.2984 2.9330 6.2708
Pm 2.4616 -0.4506 2.2368
Pm 4.7640 1.6783 0.6504
Si -4.0878 2.7185 7.2069
Pm 1.0041 5.0618 4.6844
Pm -1.1173 1.2018 2.9280
Pm 1.4650 2.9868 0.4457
Si -3.0538 6.9796 1.6367
Pm 3.1783 5.9532 2.0169

=====

5
Lattice="-1.3306 2.9500 0.0515 -0.3007 -0.0794 -3.2216 -7.8380 -1.7450 -0.8512" Properties=species:S:1:pos:R:3 comment="Al2OsS2, optimized geometry, DFT PBE" de_polymorph_kj_per_mol_fu=0 raw_formation_energy_mev_per_atom=199 total_magnetization_mub_per_fu=0.00 spacegroup=I4/mmm pbc="T T T"
S -4.9921 1.3201 -1.1924
S -4.4772 -0.1946 -2.8289
Al -7.4322 0.2435 -2.5639
Os 0.0000 0.0000 0.0000
Al -2.0371 0.8821 -1.4574

=====

8
Lattice="-8.9813 3.6658 0.7876 -3.3049 -6.7743 -6.1570 -6.7765 -3.6822 -0.0034" Properties=species:S:1:pos:R:3 comment="BaCa2Cl, optimized geometry, DFT PBE" de_polymorph_kj_per_mol_fu=54 raw_formation_energy_mev_per_atom=-625 total_magnetization_mub_per_fu=0.85 spacegroup=I-42d pbc="T T T"
Ca -6.8372 0.1632 -0.3557
Ca -15.5078 -4.8154 -4.0951
Ca -10.0148 -4.5937 -2.6216
Ca -5.7657 -4.3358 -3.6730
Cl -6.1431 -1.5543 -2.6847
Ba -10.9505 -0.7854 -0.9502
Ba 0.0000 0.0000 0.0000
Cl -8.1123 -6.0054 -4.4225

=====

3
Lattice="3.2130 0.0000 0.0000 0.0000 3.2361 0.0000 -1.6065 -1.6181 5.7057" Properties=species:S:1:pos:R:3 comment="SnHgN, optimized geometry, DFT PBE" de_polymorph_kj_per_mol_fu=0 raw_formation_energy_mev_per_atom=507 total_magnetization_mub_per_fu=0.00 spacegroup=Imm2 pbc="T T T"
Sn 0.0000 0.0000 4.9211
Hg 1.6065 1.6181 2.0412
N 1.6065 1.6181 4.4491

=====

17
Lattice="-2.1933 0.5022 -6.3622 -3.2891 -4.9954 3.1255 -1.1360 5.8117 3.2364" Properties=species:S:1:pos:R:3 comment="ThRe4N12, optimized geometry, DFT PBE" raw_formation_energy_mev_per_atom=392 total_magnetization_mub_per_fu=0.00 spacegroup=Im-3m pbc="T T T"
N -1.6646 3.1736 3.2072
Th 0.0000 0.0000 0.0000
N -3.0240 -3.6507 0.8100
Re -1.6445 -2.4977 1.5628
N -1.8930 1.7427 0.7870
N -4.1996 2.2146 -0.7665
Re -3.3092 0.6593 -0.0002
N -1.9383 1.7974 -4.0176
N -4.7253 -0.4242 -0.7874
N -4.4661 0.8775 1.5532
N -2.4187 -0.8960 0.7662
Re -0.5680 2.9059 1.6182
N -4.6800 -0.4789 4.0172
N -2.1522 0.4410 -1.5536
N -3.5943 4.9693 -0.8103
N -4.9538 -1.8550 -3.2076
Re -1.0966 0.2511 -3.1811

=====

18
Lattice="7.9721 0.0000 0.0000 0.0000 7.1884 0.0000 -3.9860 -3.5942 5.2937" Properties=species:S:1:pos:R:3 comment="CsPaAsO6, optimized geometry, DFT PBE" raw_formation_energy_mev_per_atom=-2114 total_magnetization_mub_per_fu=0.00 spacegroup=Imma pbc="T T T"
Pa 1.9930 -1.7971 2.6469
Pa -1.9930 -1.7971 2.6469
O 3.9860 -1.7971 3.4786
O 1.3070 3.8883 4.0294
O 0.0000 5.3913 1.8151
O 2.6790 3.8883 1.2644
O 2.6790 -0.2941 1.2644
O 5.2931 3.8883 1.2644
O 3.9860 1.7971 0.5964
Cs 0.0000 1.7971 1.5110
O -1.3070 -0.2941 4.0294
O -1.3070 3.8883 4.0294
As 3.9860 3.5942 0.0000
Cs 3.9860 1.7971 3.7827
O 0.0000 1.7971 4.6973
O 5.2931 -0.2941 1.2644
O 1.3070 -0.2941 4.0294
As 3.9860 0.0000 0.0000